Density functional theory data (GGA-PBE) for an optimized crystal structure of Ba2ZrFe.

It has space group Cm (No. 8), with a = 7.323 Å, b = 4.241 Å, c = 9.858 Å, α = 90.00°, β = 104.52° and γ = 90.00°. The distinct sites, in fractional coordinates, are Ba at (0.000, 0.000, 0.000), Ba at (0.187, 0.000, 0.554), Zr at (0.428, 0.000, 0.277) and Fe at (0.261, 0.500, 0.277).

Its energy relative to the elements is 0.388 eV per atom. The density of states at the Fermi level comes out at 2.42 states/eV/f.u. For the polymorph energy (0 for the lowest one), the calculation gives 4.7 meV/atom.